# V2Ga2CoNi7

A geometry-optimized V2Ga2CoNi7 structure (GGA-PBE, the Alexandria database).

- V (Å³/cell) = 151.9
- E_form (meV per atom) = 94
- total moment (μB per cell) = 1.3
- E (eV per atom) = -5.895
- DOS(E_F) (states/eV per cell) = 12.8

Cell: 3.310 3.310 14.061 Å, 83.27 83.27 90.00°
Atoms (fractional coordinates):
1 V 0.632 0.632 0.734
2 V 0.368 0.368 0.266
3 Ga 0.815 0.815 0.372
4 Ga 0.185 0.185 0.628
5 Co 0.000 0.000 0.000
6 Ni 0.500 0.500 0.000
7 Ni 0.276 0.276 0.449
8 Ni 0.724 0.724 0.551
9 Ni 0.932 0.432 0.136
10 Ni 0.432 0.932 0.136
11 Ni 0.568 0.068 0.864
12 Ni 0.068 0.568 0.864